[1]
# LaTa2Cu | Alexandria | PBE-GGA | optimized geometry
# **E_form**: 0.470 eV per atom
# **Magnetization**: 0.00 μB per cell
# **Energy relative to the lowest polymorph listed for this composition**: 0.87 eV per formula unit
data_LaTa2Cu
_chemical_formula_sum 'La1 Ta2 Cu1'
_space_group_name_H-M_alt 'P 1'
_space_group_IT_number 1
_space_group_name_Hall 'P 1'
_cell_length_a 9.853
_cell_length_b 9.853
_cell_length_c 9.853
_cell_angle_alpha 18.35
_cell_angle_beta 18.35
_cell_angle_gamma 18.35
loop_
_atom_site_label
_atom_site_type_symbol
_atom_site_fract_x
_atom_site_fract_y
_atom_site_fract_z
Ta1 Ta 0.246 0.246 0.246
Ta2 Ta 0.989 0.989 0.989
Cu1 Cu 0.512 0.512 0.512
La1 La 0.753 0.753 0.753


[2]
# Pr5Sb2Te | Alexandria | PBE-GGA | optimized geometry
# **Final energy**: -5.114 eV per atom
# **Magnetization**: 0.00 μB per cell
data_Pr5Sb2Te
_chemical_formula_sum 'Pr10 Sb4 Te2'
_space_group_name_H-M_alt 'P 1'
_space_group_IT_number 1
_space_group_name_Hall 'P 1'
_cell_length_a 6.310
_cell_length_b 7.488
_cell_length_c 14.239
_cell_angle_alpha 90.00
_cell_angle_beta 90.00
_cell_angle_gamma 114.92
loop_
_atom_site_label
_atom_site_type_symbol
_atom_site_fract_x
_atom_site_fract_y
_atom_site_fract_z
Pr1 Pr 0.692 0.383 0.250
Pr2 Pr 0.308 0.617 0.750
Pr3 Pr 0.364 0.728 0.437
Pr4 Pr 0.364 0.728 0.063
Pr5 Pr 0.636 0.272 0.563
Pr6 Pr 0.950 0.900 0.882
Pr7 Pr 0.050 0.100 0.382
Pr8 Pr 0.050 0.100 0.118
Pr9 Pr 0.636 0.272 0.937
Pr10 Pr 0.950 0.900 0.618
Sb1 Sb 0.175 0.351 0.932
Sb2 Sb 0.175 0.351 0.568
Sb3 Sb 0.825 0.649 0.432
Sb4 Sb 0.825 0.649 0.068
Te1 Te 0.239 0.477 0.250
Te2 Te 0.761 0.523 0.750


[3]
# PaVSb | Alexandria | PBE-GGA | optimized geometry
# **Magnetization**: 1.00 μB per cell
# **Energy relative to the lowest polymorph listed for this composition**: 0.02 eV per formula unit
data_PaVSb
_chemical_formula_sum 'Pa1 V1 Sb1'
_space_group_name_H-M_alt 'P 1'
_space_group_IT_number 1
_space_group_name_Hall 'P 1'
_cell_length_a 3.354
_cell_length_b 3.354
_cell_length_c 6.121
_cell_angle_alpha 105.90
_cell_angle_beta 105.90
_cell_angle_gamma 90.00
loop_
_atom_site_label
_atom_site_type_symbol
_atom_site_fract_x
_atom_site_fract_y
_atom_site_fract_z
V1 V 0.654 0.654 0.308
Sb1 Sb 0.028 0.028 0.056
Pa1 Pa 0.318 0.318 0.636


[4]
# RbBaCo2 | Alexandria | PBE-GGA | optimized geometry
# **E_form**: 1.290 eV per atom
# **Magnetization**: 5.97 μB per cell
# **Energy relative to the lowest polymorph listed for this composition**: 0.45 eV per formula unit
data_RbBaCo2
_chemical_formula_sum 'Rb2 Ba2 Co4'
_space_group_name_H-M_alt 'P 1'
_space_group_IT_number 1
_space_group_name_Hall 'P 1'
_cell_length_a 8.730
_cell_length_b 8.730
_cell_length_c 6.921
_cell_angle_alpha 50.90
_cell_angle_beta 50.90
_cell_angle_gamma 90.00
loop_
_atom_site_label
_atom_site_type_symbol
_atom_site_fract_x
_atom_site_fract_y
_atom_site_fract_z
Co1 Co 0.375 0.370 0.750
Co2 Co 0.120 0.625 0.250
Co3 Co 0.630 0.125 0.250
Co4 Co 0.875 0.880 0.750
Ba1 Ba 0.750 0.250 0.500
Ba2 Ba 0.000 0.000 0.000
Rb1 Rb 0.500 0.500 0.000
Rb2 Rb 0.250 0.750 0.500


[5]
# CoTcRu | Alexandria | PBE-GGA | optimized geometry
# **E_form**: 0.294 eV per atom
# **Magnetization**: 1.55 μB per cell
# **Energy relative to the lowest polymorph listed for this composition**: 0.65 eV per formula unit
data_CoTcRu
_chemical_formula_sum 'Co2 Tc2 Ru2'
_space_group_name_H-M_alt 'P 1'
_space_group_IT_number 1
_space_group_name_Hall 'P 1'
_cell_length_a 3.746
_cell_length_b 3.746
_cell_length_c 5.900
_cell_angle_alpha 99.23
_cell_angle_beta 99.23
_cell_angle_gamma 89.15
loop_
_atom_site_label
_atom_site_type_symbol
_atom_site_fract_x
_atom_site_fract_y
_atom_site_fract_z
Tc1 Tc 0.677 0.677 0.690
Tc2 Tc 0.323 0.323 0.310
Ru1 Ru 0.828 0.828 0.306
Ru2 Ru 0.172 0.172 0.694
Co1 Co 0.747 0.253 0.000
Co2 Co 0.253 0.747 0.000


[6]
# TbPmEr2Tm6 | Alexandria | PBE-GGA | optimized geometry
# **E_form**: 0.125 eV per atom
# **Magnetization**: 0.01 μB per cell
data_TbPmEr2Tm6
_chemical_formula_sum 'Tb2 Pm2 Er4 Tm12'
_space_group_name_H-M_alt 'P 1'
_space_group_IT_number 1
_space_group_name_Hall 'P 1'
_cell_length_a 9.398
_cell_length_b 8.693
_cell_length_c 8.693
_cell_angle_alpha 117.56
_cell_angle_beta 93.45
_cell_angle_gamma 93.45
loop_
_atom_site_label
_atom_site_type_symbol
_atom_site_fract_x
_atom_site_fract_y
_atom_site_fract_z
Pm1 Pm 0.250 0.973 0.027
Pm2 Pm 0.750 0.027 0.973
Tm1 Tm 0.117 0.709 0.490
Tm2 Tm 0.182 0.566 0.020
Tm3 Tm 0.942 0.877 0.248
Tm4 Tm 0.883 0.291 0.510
Tm5 Tm 0.058 0.123 0.752
Tm6 Tm 0.558 0.752 0.123
Tm7 Tm 0.383 0.510 0.291
Tm8 Tm 0.617 0.490 0.709
Tm9 Tm 0.818 0.434 0.980
Tm10 Tm 0.318 0.980 0.434
Tm11 Tm 0.442 0.248 0.877
Tm12 Tm 0.682 0.020 0.566
Er1 Er 0.453 0.803 0.696
Er2 Er 0.953 0.696 0.803
Er3 Er 0.047 0.304 0.197
Er4 Er 0.547 0.197 0.304
Tb1 Tb 0.250 0.410 0.590
Tb2 Tb 0.750 0.590 0.410


[7]
# BaAlICl4 | Alexandria | PBE-GGA | optimized geometry
# **Final energy**: -3.862 eV per atom
# **Magnetization**: 0.00 μB per cell
data_BaAlICl4
_chemical_formula_sum 'Ba2 Al2 I2 Cl8'
_space_group_name_H-M_alt 'P 1'
_space_group_IT_number 1
_space_group_name_Hall 'P 1'
_cell_length_a 8.079
_cell_length_b 8.079
_cell_length_c 8.802
_cell_angle_alpha 79.31
_cell_angle_beta 79.31
_cell_angle_gamma 75.79
loop_
_atom_site_label
_atom_site_type_symbol
_atom_site_fract_x
_atom_site_fract_y
_atom_site_fract_z
Cl1 Cl 0.257 0.257 0.486
Cl2 Cl 0.470 0.470 0.723
Cl3 Cl 0.496 0.837 0.880
Cl4 Cl 0.504 0.163 0.120
Cl5 Cl 0.837 0.496 0.880
Cl6 Cl 0.743 0.743 0.514
Cl7 Cl 0.163 0.504 0.120
Cl8 Cl 0.530 0.530 0.277
I1 I 0.970 0.970 0.769
I2 I 0.030 0.030 0.231
Al1 Al 0.635 0.635 0.739
Al2 Al 0.365 0.365 0.261
Ba1 Ba 0.796 0.796 0.121
Ba2 Ba 0.204 0.204 0.879


[8]
# CdSi2Ni | Alexandria | PBE-GGA | optimized geometry
# **Final energy**: -4.282 eV per atom
# **Magnetization**: 0.00 μB per cell
data_CdSi2Ni
_chemical_formula_sum 'Cd1 Si2 Ni1'
_space_group_name_H-M_alt 'P 1'
_space_group_IT_number 1
_space_group_name_Hall 'P 1'
_cell_length_a 3.584
_cell_length_b 3.572
_cell_length_c 5.298
_cell_angle_alpha 77.80
_cell_angle_beta 90.00
_cell_angle_gamma 90.00
loop_
_atom_site_label
_atom_site_type_symbol
_atom_site_fract_x
_atom_site_fract_y
_atom_site_fract_z
Si1 Si 0.500 0.312 0.084
Si2 Si 0.000 0.833 0.066
Cd1 Cd 0.000 0.459 0.560
Ni1 Ni 0.500 0.896 0.789


[9]
# La2Mg3Zn12Pd | Alexandria | PBE-GGA | optimized geometry
# **E_form**: -0.098 eV per atom
# **Magnetization**: 0.00 μB per cell
data_La2Mg3Zn12Pd
_chemical_formula_sum 'La2 Mg3 Zn12 Pd1'
_space_group_name_H-M_alt 'P 1'
_space_group_IT_number 1
_space_group_name_Hall 'P 1'
_cell_length_a 11.400
_cell_length_b 11.400
_cell_length_c 11.400
_cell_angle_alpha 31.86
_cell_angle_beta 31.86
_cell_angle_gamma 31.86
loop_
_atom_site_label
_atom_site_type_symbol
_atom_site_fract_x
_atom_site_fract_y
_atom_site_fract_z
Zn1 Zn 0.580 0.580 0.166
Zn2 Zn 0.906 0.370 0.906
Zn3 Zn 0.166 0.580 0.580
Zn4 Zn 0.580 0.166 0.580
Zn5 Zn 0.834 0.420 0.420
Zn6 Zn 0.370 0.906 0.906
Zn7 Zn 0.094 0.094 0.630
Zn8 Zn 0.420 0.834 0.420
Zn9 Zn 0.630 0.094 0.094
Zn10 Zn 0.420 0.420 0.834
Zn11 Zn 0.906 0.906 0.370
Zn12 Zn 0.094 0.630 0.094
La1 La 0.645 0.645 0.645
La2 La 0.355 0.355 0.355
Mg1 Mg 0.000 0.500 0.000
Mg2 Mg 0.000 0.000 0.500
Mg3 Mg 0.500 0.000 0.000
Pd1 Pd 0.000 0.000 0.000


[10]
# ErInP2 | Alexandria | PBE-GGA | optimized geometry
# **E_form**: -0.665 eV per atom
# **Magnetization**: 0.00 μB per cell
data_ErInP2
_chemical_formula_sum 'Er1 In1 P2'
_space_group_name_H-M_alt 'P 1'
_space_group_IT_number 1
_space_group_name_Hall 'P 1'
_cell_length_a 3.983
_cell_length_b 3.983
_cell_length_c 6.747
_cell_angle_alpha 72.83
_cell_angle_beta 72.83
_cell_angle_gamma 60.00
loop_
_atom_site_label
_atom_site_type_symbol
_atom_site_fract_x
_atom_site_fract_y
_atom_site_fract_z
Er1 Er 0.500 0.500 0.500
In1 In 0.000 0.000 0.000
P1 P 0.252 0.252 0.245
P2 P 0.748 0.748 0.755


[11]
# CsCa2Pt | Alexandria | PBE-GGA | optimized geometry
# **E_form**: 0.040 eV per atom
# **Magnetization**: 0.00 μB per cell
data_CsCa2Pt
_chemical_formula_sum 'Cs1 Ca2 Pt1'
_space_group_name_H-M_alt 'P 1'
_space_group_IT_number 1
_space_group_name_Hall 'P 1'
_cell_length_a 5.544
_cell_length_b 5.544
_cell_length_c 5.544
_cell_angle_alpha 60.00
_cell_angle_beta 60.00
_cell_angle_gamma 60.00
loop_
_atom_site_label
_atom_site_type_symbol
_atom_site_fract_x
_atom_site_fract_y
_atom_site_fract_z
Pt1 Pt 0.500 0.500 0.500
Cs1 Cs 0.000 0.000 0.000
Ca1 Ca 0.250 0.250 0.250
Ca2 Ca 0.750 0.750 0.750


[12]
# AgPd4PtAu2 | Alexandria | PBE-GGA | optimized geometry
# **E_form**: -0.037 eV per atom
# **Magnetization**: 0.00 μB per cell
data_AgPd4PtAu2
_chemical_formula_sum 'Ag1 Pd4 Pt1 Au2'
_space_group_name_H-M_alt 'P 1'
_space_group_IT_number 1
_space_group_name_Hall 'P 1'
_cell_length_a 4.031
_cell_length_b 4.048
_cell_length_c 8.952
_cell_angle_alpha 63.27
_cell_angle_beta 90.00
_cell_angle_gamma 90.00
loop_
_atom_site_label
_atom_site_type_symbol
_atom_site_fract_x
_atom_site_fract_y
_atom_site_fract_z
Pd1 Pd 0.500 0.745 0.254
Pd2 Pd 0.000 0.246 0.254
Pd3 Pd 0.000 0.754 0.746
Pd4 Pd 0.500 0.255 0.746
Pt1 Pt 0.000 0.500 0.500
Au1 Au 0.500 0.000 0.500
Au2 Au 0.000 0.000 0.000
Ag1 Ag 0.500 0.500 0.000